# 1
Pr8SiTe4Se3 | Alexandria via LeMat-Bulk | GGA-PBE | relaxed; E = -91.5 eV/f.u.; total magnetization = 0.00 μB per cell
1.0
4.364 2.519 7.369
-4.364 2.519 7.369
0.000 -5.039 7.369
Pr Si Te Se
8 1 4 3
direct
0.240 0.240 0.240
0.248 0.736 0.736
0.264 0.264 0.752
0.264 0.752 0.264
0.736 0.248 0.736
0.736 0.736 0.248
0.752 0.264 0.264
0.760 0.760 0.760
0.500 0.500 0.500
0.000 0.000 0.000
0.000 0.500 0.500
0.500 0.000 0.500
0.500 0.500 0.000
0.000 0.000 0.500
0.000 0.500 0.000
0.500 0.000 0.000

# 2
BC3 | Alexandria via LeMat-Bulk | GGA-PBE | relaxed; total magnetization = 0.00 μB per cell; distance to the lowest polymorph of the same formula = 3.6 kJ per mole of atoms
1.0
2.572 0.000 0.000
-1.286 2.228 0.000
0.000 0.000 12.950
B C
3 9
direct
0.000 0.000 0.000
0.333 0.667 0.550
0.667 0.333 0.332
0.000 0.000 0.387
0.000 0.000 0.496
0.000 0.000 0.872
0.333 0.667 0.049
0.333 0.667 0.167
0.333 0.667 0.675
0.667 0.333 0.208
0.667 0.333 0.712
0.667 0.333 0.836